DFT (PBE) results for a relaxed structure of La3Nd4SmSe8.

Geometry as POSCAR:
```
La3Nd4SmSe8
1.0
-2.127 7.615 -3.178
-6.415 0.526 5.554
7.934 -1.397 2.769
La Nd Sm Se
3 4 1 8
Cartesian
-4.271 4.071 1.188
-0.304 3.373 2.572
0.759 -0.435 4.161
-1.063 3.808 -1.589
2.904 3.109 -0.205
0.000 0.000 0.000
3.967 -0.698 1.384
-3.208 0.263 2.777
-5.323 2.281 3.391
-1.408 1.592 4.757
1.840 1.327 1.949
-6.400 6.139 1.780
5.792 0.606 3.364
-2.448 5.418 3.195
0.800 5.153 0.387
4.715 4.464 1.753
```

Space-group type: No. 166
N(E_F) (states/eV/f.u.): 10.49
Uncorrected formation energy (eV per atom): -1.895

DFT (PBE) results for a relaxed structure of TaHg2As.

Geometry as POSCAR:
```
TaHg2As
1.0
5.232 0.000 0.000
0.000 5.232 0.000
0.000 0.000 3.011
As Hg Ta
1 2 1
Cartesian
0.000 2.616 1.506
0.000 0.000 0.000
2.616 2.616 0.000
2.616 0.000 1.506
```

Energy of formation from the pure elements (meV/atom): 607
Space-group type: No. 123
N(E_F) (states/eV/f.u.): 2.52

DFT (PBE) results for a relaxed structure of SrNb2HgMo.

Geometry as POSCAR:
```
SrNb2HgMo
1.0
4.876 0.000 0.000
0.000 4.876 0.000
0.000 0.000 5.256
Sr Mo Hg Nb
1 1 1 2
Cartesian
0.000 0.000 0.000
2.438 2.438 2.628
0.000 0.000 2.628
0.000 2.438 0.000
2.438 0.000 0.000
```

Energy of formation from the pure elements (meV/atom): 2759
Space-group type: No. 123
N(E_F) (states/eV/f.u.): 7.48

DFT (PBE) results for a relaxed structure of Ba2AgPRh.

Geometry as POSCAR:
```
Ba2AgPRh
1.0
-5.288 -3.036 0.544
2.702 -5.080 -2.091
1.082 -1.139 4.166
P Rh Ba Ag
1 1 2 1
Cartesian
0.541 -0.569 2.083
0.000 0.000 0.000
1.351 -2.540 -1.045
-2.644 -1.518 0.272
-0.752 -4.627 1.310
```

Energy of formation from the pure elements (meV/atom): -462
Space-group type: No. 123
N(E_F) (states/eV/f.u.): 2.82

DFT (PBE) results for a relaxed structure of Rb2NpUO6.

Geometry as POSCAR:
```
Rb2NpUO6
1.0
6.167 -0.001 0.001
0.000 6.167 0.000
3.083 3.083 4.360
Rb Np U O
2 1 1 6
Cartesian
3.083 6.166 2.180
6.167 3.082 2.181
0.000 0.000 0.000
3.083 3.083 0.000
1.600 4.567 0.001
7.652 7.651 4.360
3.084 3.083 2.286
7.650 4.681 4.360
1.598 1.597 0.001
6.166 6.165 2.075
```

Space-group type: No. 139
N(E_F) (states/eV/f.u.): 10.50
Uncorrected formation energy (eV per atom): -2.761

DFT (PBE) results for a relaxed structure of SnH.

Geometry as POSCAR:
```
SnH
1.0
3.978 0.587 1.231
2.391 3.244 1.450
2.484 1.990 7.297
Sn H
2 2
Cartesian
7.009 4.373 7.755
1.844 1.448 2.222
2.099 1.547 4.223
6.754 4.274 5.754
```

Space-group type: No. 2
N(E_F) (states/eV/f.u.): 0.45
Energy (Ha/atom): -0.123

DFT (PBE) results for a relaxed structure of PrNd2Sm9.

Geometry as POSCAR:
```
PrNd2Sm9
1.0
5.151 0.000 0.000
0.000 5.151 0.000
0.000 0.000 15.447
Pr Nd Sm
1 2 9
Cartesian
0.000 0.000 0.000
0.000 0.000 5.152
0.000 0.000 10.294
2.576 2.576 0.000
2.576 2.576 5.153
2.576 2.576 10.293
2.576 0.000 2.583
2.576 0.000 7.723
2.576 0.000 12.864
0.000 2.576 2.583
0.000 2.576 7.723
0.000 2.576 12.864
```

Energy of formation from the pure elements (meV/atom): 16
Space-group type: No. 123
N(E_F) (states/eV/f.u.): 19.43

DFT (PBE) results for a relaxed structure of AsOsO6.

Geometry as POSCAR:
```
AsOsO6
1.0
-0.504 -4.137 2.487
2.142 -4.058 -1.581
4.035 -1.782 2.590
As Os O
1 1 6
Cartesian
0.000 0.000 0.000
2.836 -4.988 1.748
3.794 -3.364 1.631
2.903 -4.915 3.635
1.220 -4.010 1.786
2.769 -5.062 -0.139
1.878 -6.613 1.864
4.452 -5.966 1.709
```

Space-group type: No. 148
N(E_F) (states/eV/f.u.): 3.49
Uncorrected formation energy (eV per atom): -0.821

DFT (PBE) results for a relaxed structure of SrLiCuSi2.

Geometry as POSCAR:
```
SrLiCuSi2
1.0
4.276 0.000 0.000
0.000 4.276 0.000
-2.138 -2.138 5.069
Sr Li Cu Si
1 1 1 2
Cartesian
0.000 0.000 0.000
0.000 2.138 2.535
2.138 0.000 2.535
2.138 2.138 1.184
0.000 0.000 3.885
```

Space-group type: No. 119
N(E_F) (states/eV/f.u.): 2.01
Uncorrected formation energy (eV per atom): -0.321

DFT (PBE) results for a relaxed structure of Si2NiGeP.

Geometry as POSCAR:
```
Si2NiGeP
1.0
4.383 0.000 0.000
0.000 4.539 0.000
0.000 0.000 4.383
Ni Ge Si P
1 1 2 1
Cartesian
0.000 0.000 0.000
2.191 2.269 2.191
0.000 0.000 2.191
2.191 0.000 0.000
0.000 2.269 0.000
```

Space-group type: No. 123
N(E_F) (states/eV/f.u.): 2.94
Uncorrected formation energy (eV per atom): 0.514

DFT (PBE) results for a relaxed structure of SrPdBr6.

Geometry as POSCAR:
```
SrPdBr6
1.0
6.785 0.008 0.004
3.385 5.889 0.009
3.377 1.956 6.359
Sr Pd Br
1 1 6
Cartesian
6.773 3.927 3.186
0.000 0.000 0.000
4.135 3.873 4.916
8.123 1.664 4.918
5.504 1.622 1.449
5.423 6.190 1.453
9.412 3.980 1.455
8.043 6.232 4.922
```

Space-group type: No. 2
Uncorrected formation energy (eV per atom): -0.835

DFT (PBE) results for a relaxed structure of K3Np2TlS6.

Geometry as POSCAR:
```
K3Np2TlS6
1.0
4.120 0.000 0.000
0.000 8.939 0.310
-2.060 -2.593 9.009
K Np Tl S
3 2 1 6
Cartesian
2.060 4.469 0.155
2.060 -0.389 6.299
0.000 6.735 3.019
2.060 4.205 6.135
0.000 2.141 3.183
2.060 0.000 0.000
0.000 5.981 6.104
2.060 4.001 3.392
2.060 0.365 3.215
0.000 2.239 0.628
2.060 4.107 8.690
0.000 2.345 5.926
```

Space-group type: No. 12
N(E_F) (states/eV/f.u.): 15.66
Uncorrected formation energy (eV per atom): -1.217

DFT (PBE) results for a relaxed structure of Pm6TeIr3.

Geometry as POSCAR:
```
Pm6TeIr3
1.0
4.231 0.000 0.000
0.000 11.518 -3.275
0.000 -0.406 12.080
Pm Te Ir
12 2 6
Cartesian
3.174 5.096 5.657
1.058 6.016 3.148
3.174 10.681 -1.880
1.058 0.430 10.685
3.174 4.432 -0.890
1.058 6.679 9.695
3.174 7.862 0.965
1.058 3.249 7.840
3.174 1.486 4.872
1.058 9.625 3.933
3.174 8.303 7.002
1.058 2.808 1.803
3.174 0.559 7.983
1.058 10.552 0.823
3.174 5.174 8.454
1.058 5.937 0.351
3.174 7.702 3.960
1.058 3.409 4.845
3.174 1.784 0.298
1.058 9.328 8.507
```

Space-group type: No. 11
N(E_F) (states/eV/f.u.): 4.86
Uncorrected formation energy (eV per atom): -0.771

DFT (PBE) results for a relaxed structure of NdScCuAu.

Geometry as POSCAR:
```
NdScCuAu
1.0
4.982 0.000 0.000
2.491 4.314 0.000
2.491 1.438 4.068
Sc Nd Au Cu
1 1 1 1
Cartesian
4.982 2.876 2.034
0.000 0.000 0.000
7.473 4.314 3.051
2.491 1.438 1.017
```

Energy of formation from the pure elements (meV/atom): -433
Space-group type: No. 216
N(E_F) (states/eV/f.u.): 4.17

DFT (PBE) results for a relaxed structure of Ba2Cd.

Geometry as POSCAR:
```
Ba2Cd
1.0
-0.192 3.877 -1.879
-3.186 1.137 2.674
6.816 0.162 4.579
Ba Cd
2 1
Cartesian
-0.328 3.215 1.719
3.765 1.961 3.656
0.000 0.000 0.000
```

Energy of formation from the pure elements (meV/atom): -235
Space-group type: No. 139
N(E_F) (states/eV/f.u.): 4.13

DFT (PBE) results for a relaxed structure of Mg5Hg2Pd12.

Geometry as POSCAR:
```
Mg5Hg2Pd12
1.0
-4.662 0.403 -2.997
0.644 -7.447 3.149
-3.483 4.961 6.085
Mg Hg Pd
5 2 12
Cartesian
-3.159 -1.296 4.740
-1.688 -4.503 2.021
-1.741 2.481 3.042
-5.813 2.420 4.216
-4.342 -0.787 1.496
-3.504 0.303 -2.252
-1.158 0.100 -0.745
-1.454 -0.098 2.249
-2.882 -0.077 7.124
-5.281 0.130 5.582
-1.400 -3.233 4.299
-3.712 -3.033 2.812
-3.885 -3.746 5.540
-3.616 1.663 0.697
-6.100 1.150 1.938
-3.788 0.950 3.424
-4.618 -2.006 -0.888
-2.220 -2.213 0.654
-6.046 -1.985 3.988
```

Energy of formation from the pure elements (meV/atom): -242
Space-group type: No. 12
N(E_F) (states/eV/f.u.): 10.91

DFT (PBE) results for a relaxed structure of Ag8HgAu4.

Geometry as POSCAR:
```
Ag8HgAu4
1.0
-0.020 -1.322 4.565
-0.975 -2.616 -0.762
17.186 -5.930 -1.639
Ag Hg Au
8 1 4
Cartesian
8.629 -2.978 -0.821
15.430 -6.800 -1.899
-0.200 -2.072 1.873
10.163 -4.172 1.313
3.060 -3.861 3.844
13.485 -4.653 -1.286
2.747 -1.612 2.019
12.116 -6.322 0.699
5.921 -3.371 3.994
1.162 -1.730 4.452
10.563 -5.121 -1.434
7.171 -4.615 1.172
15.032 -5.852 0.848
```

Energy of formation from the pure elements (meV/atom): 23
Space-group type: No. 6
N(E_F) (states/eV/f.u.): 5.05

DFT (PBE) results for a relaxed structure of Na4Pa3AsN8.

Geometry as POSCAR:
```
Na4Pa3AsN8
1.0
6.797 0.000 0.000
0.000 6.865 0.057
-3.399 -3.393 5.216
Na Pa As N
4 3 1 8
Cartesian
3.399 0.000 0.000
1.699 -1.696 2.608
0.000 0.000 0.000
-1.699 -1.696 2.608
3.399 3.432 0.029
1.699 1.736 2.637
-1.699 1.736 2.637
0.000 3.432 0.029
-1.967 1.371 4.979
0.000 3.102 2.944
0.000 0.203 3.037
1.967 1.371 4.979
1.432 2.101 0.295
3.399 3.269 2.237
3.399 0.370 2.329
5.366 2.101 0.295
```

Space-group type: No. 12
N(E_F) (states/eV/f.u.): 0.08
Uncorrected formation energy (eV per atom): -0.716

DFT (PBE) results for a relaxed structure of YMnAl2.

Geometry as POSCAR:
```
YMnAl2
1.0
3.320 0.000 0.000
0.000 3.141 0.006
0.000 3.128 7.013
Y Mn Al
1 1 2
Cartesian
1.660 4.702 5.264
1.660 1.567 1.755
0.000 3.141 0.403
0.000 3.135 3.112
```

Energy of formation from the pure elements (meV/atom): -222
Space-group type: No. 47
N(E_F) (states/eV/f.u.): 3.86

DFT (PBE) results for a relaxed structure of La2BeAs.

Geometry as POSCAR:
```
La2BeAs
1.0
2.326 -2.427 3.951
-0.429 1.882 4.815
-2.843 -2.526 3.528
Be As La
1 1 2
Cartesian
0.000 0.000 0.000
-0.473 -1.535 6.147
-0.237 -0.768 3.074
-0.710 -2.303 9.221
```

Energy of formation from the pure elements (meV/atom): -410
Space-group type: No. 225
N(E_F) (states/eV/f.u.): 2.23